# 1
VASP calculation (PBE) on TaHRu2Rh after structural relaxation.

Final energy   -8.484 eV/atom
Distance to the lowest polymorph of the same formula   0.068 eV per atom
M_tot   0.00 μB per formula unit
Space group   No. 123

Lattice parameters (Å, degrees): 3.896 3.896 4.048 90.00 90.00 90.00
Element x y z (fractional)
1 Ta 0.000 0.000 0.000
2 H 0.000 0.000 0.500
3 Ru 0.000 0.500 0.500
4 Ru 0.500 0.000 0.500
5 Rh 0.500 0.500 0.000

=====

# 2
VASP calculation (PBE) on ThH8Ru2Rh after structural relaxation.

Final energy   -5.153 eV/atom
M_tot   0.00 μB per formula unit
Space group   No. 148

Lattice parameters (Å, degrees): 6.060 6.060 6.060 46.01 46.01 46.01
Element x y z (fractional)
1 Th 0.000 0.000 0.000
2 H 0.138 0.808 0.403
3 H 0.192 0.597 0.862
4 H 0.312 0.312 0.312
5 H 0.403 0.138 0.808
6 H 0.597 0.862 0.192
7 H 0.688 0.688 0.688
8 H 0.808 0.403 0.138
9 H 0.862 0.192 0.597
10 Ru 0.207 0.207 0.207
11 Ru 0.793 0.793 0.793
12 Rh 0.500 0.500 0.500

=====

# 3
VASP calculation (PBE) on ThH6RuRh after structural relaxation.

Final energy   -5.182 eV/atom
M_tot   0.00 μB per formula unit
Space group   No. 187

Lattice parameters (Å, degrees): 4.655 4.655 4.334 90.00 90.00 120.00
Element x y z (fractional)
1 Th 0.000 0.000 0.000
2 H 0.506 0.011 0.223
3 H 0.506 0.011 0.777
4 H 0.506 0.494 0.223
5 H 0.506 0.494 0.777
6 H 0.989 0.494 0.223
7 H 0.989 0.494 0.777
8 Ru 0.667 0.333 0.500
9 Rh 0.333 0.667 0.500